VASP calculation (PBE) on a relaxed structure of ZrInP2.

Summary:
Calculated formation energy = -548 meV/atom
Mass density = 5.5 g/cm³
Crystal system = tetragonal
E = -6.074 eV/atom

Cell lengths 3.779, 3.779, 5.669 Å; angles 90.00, 90.00, 90.00 degrees
Space group P4mm (No. 99)
Asymmetric unit:
Zr (0.000, 0.000, 0.000) [1 per cell]
In (0.500, 0.500, 0.494) [1 per cell]
P (0.000, 0.000, 0.501) [1 per cell]
P (0.500, 0.500, 0.997) [1 per cell]

VASP calculation (PBE) on a relaxed structure of ZrIn4P.

Summary:
Calculated formation energy = 347 meV/atom
Mass density = 6.9 g/cm³
Crystal system = cubic
E = -3.805 eV/atom

Cell lengths 8.241, 8.241, 8.241 Å; angles 90.00, 90.00, 90.00 degrees
Space group F-43m (No. 216)
Asymmetric unit:
Zr (0.000, 0.000, 0.000) [4 per cell]
In (0.125, 0.125, 0.625) [16 per cell]
P (0.250, 0.250, 0.250) [4 per cell]